The following is a DFT calculation (PBE) of a relaxed structure of LiPr2Nd2.

abc: 4.539 4.539 9.483
angles: 103.85 103.85 90.00
Element x y z (fractional)
Li 0.000 0.000 0.000
Pr 0.750 0.250 0.500
Pr 0.250 0.750 0.500
Nd 0.410 0.410 0.820
Nd 0.590 0.590 0.180

formation enthalpy at 0 K = 0.451 eV/atom
total energy = -0.138 hartree per atom
SG = No. 139